No. 1
LaNdRh2 | Alexandria via LeMat-Bulk | PBE-GGA | optimized geometry; D(E_F) = 0.5048 states/eV per atom; raw total energy = -6.8154 eV per atom; symmetry = Amm2 (38); DFT formation energy = -0.72 eV/atom
1.0
-0.226 -3.627 -1.551
4.263 -0.281 0.035
-0.072 -0.362 5.884
La Nd Rh
1 1 2
Cartesian
-0.235 -2.978 4.676
2.000 -1.902 1.832
2.029 -1.075 4.925
-0.264 -3.801 1.568

No. 2
TbEuZnRh | Alexandria via LeMat-Bulk | PBE-GGA | optimized geometry; D(E_F) = 1.4702 states/eV per atom; raw total energy = -6.3087 eV per atom; symmetry = F-43m (216); DFT formation energy = -0.43 eV/atom
1.0
-2.467 -4.267 0.957
2.285 -4.422 -0.658
1.261 -2.791 3.979
Eu Rh Zn Tb
1 1 1 1
Cartesian
0.270 -2.870 1.069
0.000 0.000 0.000
0.540 -5.740 2.139
0.810 -8.610 3.208

No. 3
K5In2Te5 | Alexandria via LeMat-Bulk | PBE-GGA | optimized geometry; D(E_F) = 0.3738 states/eV per atom; raw total energy = -3.0128 eV per atom; E_form (uncorrected) = -0.790 eV/atom; symmetry = C2/m (12)
1.0
4.773 0.000 0.000
-2.387 7.981 -0.061
0.000 -3.931 12.848
K In Te
5 2 5
Cartesian
2.387 -1.966 6.424
2.387 2.338 0.781
2.387 2.680 4.641
0.000 1.370 8.145
0.000 1.712 12.006
0.000 -2.499 10.247
2.387 6.549 2.539
0.000 0.181 4.900
2.387 -0.630 10.183
0.000 4.680 2.603
2.387 3.869 7.887
0.000 0.000 0.000

No. 4
NaHo2Zr | Alexandria via LeMat-Bulk | PBE-GGA | optimized geometry; D(E_F) = 0.9206 states/eV per atom; raw total energy = -4.6394 eV per atom; symmetry = P4/mmm (123); DFT formation energy = 0.12 eV/atom
1.0
3.406 0.000 0.000
0.000 3.406 0.000
0.000 0.000 10.307
Na Ho Zr
1 2 1
Cartesian
1.703 1.703 5.153
0.000 0.000 8.089
0.000 0.000 2.218
1.703 1.703 0.000

No. 5
Ba2NpAl2Sb4 | Alexandria via LeMat-Bulk | PBE-GGA | optimized geometry; D(E_F) = 1.2230 states/eV per atom; raw total energy = -5.0476 eV per atom; E_form (uncorrected) = -0.519 eV/atom; symmetry = C2/m (12)
1.0
4.550 0.000 0.000
0.000 8.185 0.402
-2.275 -2.867 7.637
Ba Np Al Sb
2 1 2 4
Cartesian
0.000 3.890 2.217
2.275 1.428 5.821
0.000 0.000 0.000
2.275 7.103 2.914
0.000 -1.785 5.124
0.000 0.342 3.235
2.275 4.976 4.803
2.275 6.012 0.443
0.000 -0.694 7.595

No. 6
Y6Ho3Er2Tm | Alexandria via LeMat-Bulk | PBE-GGA | optimized geometry; D(E_F) = 1.4810 states/eV per atom; raw total energy = -5.4842 eV per atom; symmetry = C2/m (12); DFT formation energy = 0.03 eV/atom
1.0
6.133 0.002 0.001
-3.063 5.313 0.001
-1.020 -1.766 11.561
Y Ho Er Tm
6 3 2 1
Cartesian
3.070 1.778 8.679
2.047 3.545 2.885
-1.020 1.771 2.884
0.006 3.548 8.679
0.002 0.004 8.678
2.044 0.002 2.884
-2.041 3.545 5.781
4.090 0.004 5.781
1.025 1.775 5.781
0.002 3.543 0.001
3.067 1.773 0.001
0.000 0.000 0.000

No. 7
NaTmZn | Alexandria via LeMat-Bulk | PBE-GGA | optimized geometry; D(E_F) = 0.5752 states/eV per atom; raw total energy = -2.2276 eV per atom; symmetry = Amm2 (38); DFT formation energy = 0.13 eV/atom
1.0
3.472 0.000 0.000
-1.736 3.004 0.000
0.000 0.000 15.550
Zn Na Tm
2 2 2
Cartesian
1.736 0.662 0.000
0.000 1.677 7.775
1.736 0.674 5.320
1.736 0.674 10.230
0.000 1.662 13.335
0.000 1.662 2.215

No. 8
Co3Pt5 | Alexandria via LeMat-Bulk | PBE-GGA | optimized geometry; D(E_F) = 0.7784 states/eV per atom; raw total energy = -6.5599 eV per atom; symmetry = P4/mmm (123); DFT formation energy = -0.12 eV/atom
1.0
-0.545 1.590 2.135
-2.202 -1.494 0.551
8.391 -9.084 8.911
Co Pt
3 5
Cartesian
-0.348 -1.062 2.432
5.992 -7.925 9.164
4.195 -4.542 4.456
2.014 -2.180 2.139
3.820 -5.574 6.858
1.824 -3.413 4.738
6.377 -6.904 6.772
0.000 0.000 0.000